No. 1
This record from the Alexandria database describes crystalline PrCdNi2 at its relaxed geometry. The functional is GGA-PBE.

Cell and atoms, written as CIF:
```
data_PrCdNi2
_cell_length_a 6.686
_cell_length_b 6.686
_cell_length_c 6.686
_cell_angle_alpha 90.00
_cell_angle_beta 90.00
_cell_angle_gamma 90.00
_symmetry_space_group_name_H-M 'F m -3 m'
_symmetry_Int_Tables_number 225
_symmetry_space_group_name_Hall '-F 4 2 3'
loop_
_atom_site_label
_atom_site_type_symbol
_atom_site_fract_x
_atom_site_fract_y
_atom_site_fract_z
Pr1 Pr 0.000 0.000 0.000
Cd1 Cd 0.000 0.000 0.500
Ni1 Ni 0.250 0.250 0.250
```

Output
Calculated total energy: -4.44 eV per atom
Theoretical density: 8.2 g cm⁻³


No. 2
This record from the Alexandria database describes crystalline Pm11In9Rh4 at its relaxed geometry. The functional is GGA-PBE.

Cell and atoms, written as CIF:
```
data_Pm11In9Rh4
_cell_length_a 14.866
_cell_length_b 22.177
_cell_length_c 3.799
_cell_angle_alpha 90.00
_cell_angle_beta 90.00
_cell_angle_gamma 90.00
_symmetry_space_group_name_H-M 'C m m m'
_symmetry_Int_Tables_number 65
_symmetry_space_group_name_Hall '-C 2 2'
loop_
_atom_site_label
_atom_site_type_symbol
_atom_site_fract_x
_atom_site_fract_y
_atom_site_fract_z
Pm1 Pm 0.000 0.000 0.000
Pm2 Pm 0.000 0.162 0.000
Pm3 Pm 0.000 0.374 0.000
Pm4 Pm 0.188 0.500 0.000
Pm5 Pm 0.247 0.169 0.000
In1 In 0.000 0.500 0.500
In2 In 0.103 0.264 0.500
In3 In 0.148 0.070 0.500
Rh1 Rh 0.153 0.399 0.500
```

Output
Calculated total energy: -5.07 eV per atom
Theoretical density: 8.1 g cm⁻³


No. 3
This record from the Alexandria database describes crystalline Li2CuSi4O10 at its relaxed geometry. The functional is GGA-PBE.

Cell and atoms, written as CIF:
```
data_Li2CuSi4O10
_cell_length_a 6.698
_cell_length_b 7.800
_cell_length_c 9.455
_cell_angle_alpha 106.22
_cell_angle_beta 97.21
_cell_angle_gamma 114.32
_symmetry_space_group_name_H-M 'P -1'
_symmetry_Int_Tables_number 2
_symmetry_space_group_name_Hall '-P 1'
loop_
_atom_site_label
_atom_site_type_symbol
_atom_site_fract_x
_atom_site_fract_y
_atom_site_fract_z
Li1 Li 0.231 0.262 0.439
Li2 Li 0.252 0.798 0.088
Cu1 Cu 0.256 0.804 0.577
Si1 Si 0.062 0.410 0.769
Si2 Si 0.205 0.121 0.828
Si3 Si 0.396 0.603 0.287
Si4 Si 0.470 0.233 0.160
O1 O 0.042 0.235 0.844
O2 O 0.042 0.346 0.589
O3 O 0.077 0.906 0.690
O4 O 0.150 0.555 0.183
O5 O 0.276 0.103 0.994
O6 O 0.290 0.628 0.876
O7 O 0.395 0.386 0.272
O8 O 0.432 0.288 0.804
O9 O 0.457 0.732 0.466
O10 O 0.489 0.074 0.231
```

Output
Theoretical density: 2.8 g cm⁻³
Formation energy without anion corrections: -2382 meV/atom


No. 4
This record from the Alexandria database describes crystalline Ba2In7Ir at its relaxed geometry. The functional is GGA-PBE.

Cell and atoms, written as CIF:
```
data_Ba2In7Ir
_cell_length_a 4.933
_cell_length_b 4.933
_cell_length_c 11.956
_cell_angle_alpha 90.00
_cell_angle_beta 90.00
_cell_angle_gamma 90.00
_symmetry_space_group_name_H-M 'P -4 m 2'
_symmetry_Int_Tables_number 115
_symmetry_space_group_name_Hall 'P -4 -2'
loop_
_atom_site_label
_atom_site_type_symbol
_atom_site_fract_x
_atom_site_fract_y
_atom_site_fract_z
Ba1 Ba 0.000 0.500 0.231
In1 In 0.000 0.000 0.000
In2 In 0.000 0.000 0.500
In3 In 0.000 0.500 0.643
In4 In 0.000 0.500 0.886
In5 In 0.500 0.500 0.500
Ir1 Ir 0.500 0.500 0.000
```

Output
Calculated total energy: -3.44 eV per atom
Theoretical density: 7.3 g cm⁻³


No. 5
This record from the Alexandria database describes crystalline Al2Br3 at its relaxed geometry. The functional is GGA-PBE.

Cell and atoms, written as CIF:
```
data_Al2Br3
_cell_length_a 12.073
_cell_length_b 12.617
_cell_length_c 8.655
_cell_angle_alpha 90.00
_cell_angle_beta 90.00
_cell_angle_gamma 90.00
_symmetry_space_group_name_H-M 'F d d 2'
_symmetry_Int_Tables_number 43
_symmetry_space_group_name_Hall 'F 2 -2d'
loop_
_atom_site_label
_atom_site_type_symbol
_atom_site_fract_x
_atom_site_fract_y
_atom_site_fract_z
Al1 Al 0.041 0.138 0.000
Br1 Br 0.000 0.000 0.733
Br2 Br 0.101 0.205 0.352
```

Output
Theoretical density: 3.0 g cm⁻³
Formation energy without anion corrections: -368 meV/atom


No. 6
This record from the Alexandria database describes crystalline EuPuAgHg at its relaxed geometry. The functional is GGA-PBE.

Cell and atoms, written as CIF:
```
data_EuPuAgHg
_cell_length_a 7.581
_cell_length_b 7.581
_cell_length_c 7.581
_cell_angle_alpha 90.00
_cell_angle_beta 90.00
_cell_angle_gamma 90.00
_symmetry_space_group_name_H-M 'F -4 3 m'
_symmetry_Int_Tables_number 216
_symmetry_space_group_name_Hall 'F -4 2 3'
loop_
_atom_site_label
_atom_site_type_symbol
_atom_site_fract_x
_atom_site_fract_y
_atom_site_fract_z
Eu1 Eu 0.000 0.000 0.000
Pu1 Pu 0.000 0.000 0.500
Ag1 Ag 0.250 0.250 0.250
Hg1 Hg 0.250 0.250 0.750
```

Output
Calculated total energy: -7.09 eV per atom
Theoretical density: 10.7 g cm⁻³